Record 1
This record from Alexandria via LeMat-Bulk describes crystalline MgRhPb2 at its relaxed geometry. The functional is PBE-GGA.

Calculated values
The calculation puts the total DFT energy (no corrections) at -0.2999 Ry/atom. As for the density of states at the Fermi level: 11.43 states/eV/cell. Its size of the total moment is 0.00 μB/f.u.

Lattice parameters (Å, degrees): 3.5092 3.5092 26.4271 90.00 90.00 120.00
Space group R-3m (No. 166, hexagonal axes)
Asymmetric unit:
Mg: 0.0000 0.0000 0.0000 (multiplicity 3)
Rh: 0.0000 0.0000 0.5000 (multiplicity 3)
Pb: 0.0000 0.0000 0.2393 (multiplicity 6)

Record 2
This record from Alexandria via LeMat-Bulk describes crystalline Mg6RhPb3 at its relaxed geometry. The functional is PBE-GGA.

Calculated values
The calculation puts the total DFT energy (no corrections) at -0.2145 Ry/atom. As for the density of states at the Fermi level: 8.14 states/eV/cell. Its size of the total moment is 0.00 μB/f.u.

Lattice parameters (Å, degrees): 8.869 11.248 4.774 90.00 90.00 90.00
Space group Pnnm (No. 58)
Asymmetric unit:
Mg: 0.011 0.231 0.000 (multiplicity 4)
Mg: 0.140 0.063 0.500 (multiplicity 4)
Mg: 0.217 0.398 0.500 (multiplicity 4)
Rh: 0.000 0.000 0.000 (multiplicity 2)
Pb: 0.000 0.500 0.000 (multiplicity 2)
Pb: 0.165 0.691 0.500 (multiplicity 4)

Record 3
This record from Alexandria via LeMat-Bulk describes crystalline MgRhPb at its relaxed geometry. The functional is PBE-GGA.

Calculated values
The calculation puts the total DFT energy (no corrections) at -0.3173 Ry/atom. As for the density of states at the Fermi level: 1.26 states/eV/cell. Its size of the total moment is 0.00 μB/f.u. Its distance to the lowest polymorph of the same formula is 157 meV/atom.

Lattice parameters (Å, degrees): 4.6673 4.6673 3.2040 90.00 90.00 120.00
Space group P-6m2 (No. 187)
Asymmetric unit:
Mg: 0.0000 0.0000 0.0000 (multiplicity 1)
Rh: 0.3333 0.6667 0.5000 (multiplicity 1)
Pb: 0.6667 0.3333 0.5000 (multiplicity 1)

Record 4
This record from Alexandria via LeMat-Bulk describes crystalline MgRhPb2 at its relaxed geometry. The functional is PBE-GGA.

Calculated values
The calculation puts the total DFT energy (no corrections) at -0.3000 Ry/atom. As for the density of states at the Fermi level: 3.31 states/eV/cell. Its size of the total moment is 0.00 μB/f.u.

Lattice parameters (Å, degrees): 3.758 5.340 9.119 90.00 90.00 90.00
Space group Immm (No. 71)
Asymmetric unit:
Mg: 0.000 0.000 0.000 (multiplicity 2)
Rh: 0.000 0.000 0.500 (multiplicity 2)
Pb: 0.000 0.500 0.226 (multiplicity 4)